1.
# Bi2PdRuO8 PBE optimized geometry
data_Bi2PdRuO8
_chemical_formula_sum 'Bi2 Pd1 Ru1 O8'
_symmetry_space_group_name_H-M 'P 1 2/m 1'
_symmetry_Int_Tables_number 10
_symmetry_space_group_name_Hall '-P 2y'
_cell_length_a 4.890
_cell_length_b 6.688
_cell_length_c 4.965
_cell_angle_alpha 90.00
_cell_angle_beta 90.70
_cell_angle_gamma 90.00
loop_
_atom_site_label
_atom_site_fract_x
_atom_site_fract_y
_atom_site_fract_z
Bi1 0.000 0.248 0.000
Pd1 0.500 0.000 0.500
Ru1 0.500 0.500 0.500
O1 0.230 0.000 0.184
O2 0.268 0.500 0.194
O3 0.300 0.260 0.646
# Magnetic moment, μB/f.u.: 0.349
# DFT total energy, eV per atom: -5.941
# Formation energy from raw total energies, eV per formula unit: -9.40

---

2.
# LaPd6Pb PBE optimized geometry
data_LaPd6Pb
_chemical_formula_sum 'La3 Pd18 Pb3'
_symmetry_space_group_name_H-M 'R -3 m'
_symmetry_Int_Tables_number 166
_symmetry_space_group_name_Hall '-R 3 2"'
_cell_length_a 5.5094
_cell_length_b 5.5094
_cell_length_c 21.4866
_cell_angle_alpha 90.00
_cell_angle_beta 90.00
_cell_angle_gamma 120.00
loop_
_atom_site_label
_atom_site_fract_x
_atom_site_fract_y
_atom_site_fract_z
La1 0.0000 0.0000 0.0000
Pd1 0.0062 0.5031 0.9360
Pb1 0.0000 0.0000 0.5000
# Magnetic moment, μB/f.u.: 0.000
# ΔH_f (0 K), eV/atom: -0.22
# Excess energy over the best structure of this formula in the dataset, meV/atom: 314
# DFT total energy, eV per atom: -5.195

---

3.
# YBe6Cu6 PBE optimized geometry
data_YBe6Cu6
_chemical_formula_sum 'Y2 Be12 Cu12'
_symmetry_space_group_name_H-M 'I m m m'
_symmetry_Int_Tables_number 71
_symmetry_space_group_name_Hall '-I 2 2'
_cell_length_a 4.448
_cell_length_b 8.096
_cell_length_c 8.144
_cell_angle_alpha 90.00
_cell_angle_beta 90.00
_cell_angle_gamma 90.00
loop_
_atom_site_label
_atom_site_fract_x
_atom_site_fract_y
_atom_site_fract_z
Y1 0.000 0.000 0.000
Be1 0.000 0.259 0.500
Be2 0.250 0.250 0.250
Cu1 0.000 0.000 0.353
Cu2 0.000 0.350 0.000
Cu3 0.000 0.500 0.291
# Magnetic moment, μB/f.u.: 0.000
# ΔH_f (0 K), eV/atom: -0.13
# DFT total energy, eV per atom: -4.240

---

4.
# Te2RhNCl PBE optimized geometry
data_Te2RhNCl
_chemical_formula_sum 'Te2 Rh1 N1 Cl1'
_symmetry_space_group_name_H-M 'P 4/m m m'
_symmetry_Int_Tables_number 123
_symmetry_space_group_name_Hall '-P 4 2'
_cell_length_a 5.600
_cell_length_b 5.600
_cell_length_c 3.614
_cell_angle_alpha 90.00
_cell_angle_beta 90.00
_cell_angle_gamma 90.00
loop_
_atom_site_label
_atom_site_fract_x
_atom_site_fract_y
_atom_site_fract_z
Te1 0.000 0.500 0.000
Rh1 0.000 0.000 0.000
N1 0.000 0.000 0.500
Cl1 0.500 0.500 0.500
# Magnetic moment, μB/f.u.: 0.000
# Excess energy over the best structure of this formula in the dataset, meV/atom: 0
# DFT total energy, eV per atom: -4.336
# Formation energy from raw total energies, eV per formula unit: 2.13

---

5.
# Ti2HSe PBE optimized geometry
data_Ti2HSe
_chemical_formula_sum 'Ti6 H3 Se3'
_symmetry_space_group_name_H-M 'R -3 m'
_symmetry_Int_Tables_number 166
_symmetry_space_group_name_Hall '-R 3 2"'
_cell_length_a 3.2430
_cell_length_b 3.2430
_cell_length_c 17.6456
_cell_angle_alpha 90.00
_cell_angle_beta 90.00
_cell_angle_gamma 120.00
loop_
_atom_site_label
_atom_site_fract_x
_atom_site_fract_y
_atom_site_fract_z
Ti1 0.0000 0.0000 0.2308
H1 0.0000 0.0000 0.5000
Se1 0.0000 0.0000 0.0000
# Magnetic moment, μB/f.u.: 0.001
# Excess energy over the best structure of this formula in the dataset, meV/atom: 216
# DFT total energy, eV per atom: -6.192

---

6.
# PrYGa2Pt5 PBE optimized geometry
data_PrYGa2Pt5
_chemical_formula_sum 'Pr1 Y1 Ga2 Pt5'
_symmetry_space_group_name_H-M 'P 4/m m m'
_symmetry_Int_Tables_number 123
_symmetry_space_group_name_Hall '-P 4 2'
_cell_length_a 4.238
_cell_length_b 4.238
_cell_length_c 9.392
_cell_angle_alpha 90.00
_cell_angle_beta 90.00
_cell_angle_gamma 90.00
loop_
_atom_site_label
_atom_site_fract_x
_atom_site_fract_y
_atom_site_fract_z
Pr1 0.000 0.000 0.000
Y1 0.000 0.000 0.500
Ga1 0.500 0.500 0.370
Pt1 0.000 0.500 0.231
Pt2 0.500 0.500 0.000
# Magnetic moment, μB/f.u.: 0.000
# ΔH_f (0 K), eV/atom: -0.88
# DFT total energy, eV per atom: -6.162